Record 1
A relaxed Ac2PmAl crystal, computed with PBE.

The structure belongs to space group Fm-3m (No. 225); the cell edges are 8.193, 8.193 and 8.193 Å and the angles 90.00°, 90.00° and 90.00°. The asymmetric unit holds Ac at (0.250, 0.250, 0.250), Pm at (0.000, 0.000, 0.000) and Al at (0.000, 0.000, 0.500).

The calculated density comes out at 7561 kg/m³. The total energy comes out at -66.13 eV per cell. The spin magnetization is 0.000 μB/atom. The calculation puts the calculated formation energy at 44.3 meV/atom.

Record 2
A relaxed AcPmAl2 crystal, computed with PBE.

The structure belongs to space group Fm-3m (No. 225); the cell edges are 7.668, 7.668 and 7.668 Å and the angles 90.00°, 90.00° and 90.00°. The asymmetric unit holds Ac at (0.000, 0.000, 0.000), Pm at (0.000, 0.000, 0.500) and Al at (0.250, 0.250, 0.250).

The calculated density comes out at 6274 kg/m³. The total energy comes out at -69.58 eV per cell. The spin magnetization is 0.000 μB/atom. The calculation puts the calculated formation energy at -263.0 meV/atom.

Record 3
A relaxed AcPm12Al3 crystal, computed with PBE.

The structure belongs to space group P4/mmm (No. 123); the cell edges are 4.931, 4.931 and 20.218 Å and the angles 90.00°, 90.00° and 90.00°. The asymmetric unit holds Ac at (0.000, 0.000, 0.000), Pm at (0.000, 0.500, 0.140), Pm at (0.000, 0.500, 0.380), Pm at (0.500, 0.500, 0.000), Pm at (0.500, 0.500, 0.262), Pm at (0.500, 0.500, 0.500), Al at (0.000, 0.000, 0.260) and Al at (0.000, 0.000, 0.500).

The calculated density comes out at 6918 kg/m³. The total energy comes out at -73.94 eV per cell. The spin magnetization is 0.000 μB/atom. The calculation puts the calculated formation energy at -99.5 meV/atom.

Record 4
A relaxed AcPmAl2 crystal, computed with PBE.

The structure belongs to space group Cmcm (No. 63); the cell edges are 4.904, 12.956 and 7.303 Å and the angles 90.00°, 90.00° and 90.00°. The asymmetric unit holds Ac at (0.000, 0.066, 0.250), Pm at (0.000, 0.220, 0.750) and Al at (0.000, 0.400, 0.070).

The calculated density comes out at 6097 kg/m³. The total energy comes out at -70.70 eV per cell. The spin magnetization is 0.000 μB/atom. The calculation puts the calculated formation energy at -332.9 meV/atom.